[1]
First-principles (PBE) data for a geometry-optimized AlHgBr2 structure, as listed in the Alexandria database.

Properties
V in A^3/atom: 38.1
Formation energy without anion corrections in kJ/mol of formula units: -145
Relative energy among the computed polymorphs in eV per atom: 0.1409
Mass density in g cm⁻³: 4.22

Cell lengths 3.8379, 3.8347, 10.3508 Å; angles 90.00, 90.00, 90.00 degrees
Sites, in units of the cell vectors:
1 Hg 0.0000 0.0000 0.4787
2 Al 0.5000 0.5000 0.9557
3 Br 0.0000 0.0000 0.8897
4 Br 0.5000 0.5000 0.1759

---

[2]
First-principles (PBE) data for a geometry-optimized DyTc6Ge8 structure, as listed in the Alexandria database.

Properties
V in A^3/atom: 18.3
Calculated total energy in eV/atom: -6.93
Mass density in g cm⁻³: 8.07

Cell lengths 6.5274, 6.5274, 6.5274 Å; angles 84.07, 84.07, 84.07 degrees
Sites, in units of the cell vectors:
1 Ge 0.2360 0.2360 0.2360
2 Ge 0.5735 0.9136 0.2213
3 Ge 0.0864 0.7787 0.4265
4 Ge 0.4265 0.0864 0.7787
5 Ge 0.9136 0.2213 0.5735
6 Ge 0.7640 0.7640 0.7640
7 Ge 0.7787 0.4265 0.0864
8 Ge 0.2213 0.5735 0.9136
9 Dy 0.0000 0.0000 0.0000
10 Tc 0.7725 0.5868 0.4207
11 Tc 0.2275 0.4132 0.5793
12 Tc 0.4207 0.7725 0.5868
13 Tc 0.5868 0.4207 0.7725
14 Tc 0.4132 0.5793 0.2275
15 Tc 0.5793 0.2275 0.4132

---

no.,magnetic moment (μB/f.u.)
1,0.0
2,0.0